Record 1
# Pr4YHg

Crystalline Pr4YHg at its relaxed geometry (PBE, the Alexandria database).

Results
Raw total energy = -0.16394 hartree per atom
Formation energy = -147 meV per atom
Excess energy over the best structure of this formula in the dataset = 0.000 eV per atom
DOS at the Fermi energy = 8.1 states/eV/cell

abc: 3.7369 3.7369 14.2457
angles: 90.00 90.00 90.00
Element x y z (fractional)
Y: 0.0000 0.0000 0.0000
Pr: 0.5000 0.5000 0.8239
Pr: 0.0000 0.0000 0.6437
Hg: 0.5000 0.5000 0.5000
Pr: 0.5000 0.5000 0.1761
Pr: 0.0000 0.0000 0.3563

---

Record 2
# Sm7Tl2Sn

Crystalline Sm7Tl2Sn at its relaxed geometry (PBE, the Alexandria database).

Results
Raw total energy = -0.15998 hartree per atom
Formation energy = -176 meV per atom
DOS at the Fermi energy = 13.6 states/eV/cell

abc: 5.4194 5.4194 12.7898
angles: 90.00 90.00 120.00
Element x y z (fractional)
Sm: 0.6667 0.3333 0.8553
Sm: 0.6667 0.3333 0.5901
Sm: 0.6667 0.3333 0.1105
Sm: 0.0000 0.0000 0.2632
Sm: 0.3333 0.6667 0.4376
Sn: 0.0000 0.0000 0.9992
Sm: 0.0000 0.0000 0.7293
Tl: 0.6667 0.3333 0.3504
Tl: 0.3333 0.6667 0.7059
Sm: 0.3333 0.6667 0.9749